[1]
Below is an optimized crystal structure of Tb7Er2In, with properties calculated at the GGA-PBE level.

## Properties
* N(E_F): 20.07 states/eV/cell
* formation energy from the elements: 5.7 eV/f.u.

Cell lengths 8.684, 16.084, 5.355 Å; angles 90.00, 90.00, 90.00 degrees
Space group Cmmm (No. 65)
Unique sites:
Tb  0.000  0.000  0.000
Tb  0.000  0.296  0.500
Tb  0.177  0.393  0.000
Er  0.000  0.208  0.000
In  0.000  0.500  0.500

=====

[2]
Below is an optimized crystal structure of TbEr8In2, with properties calculated at the GGA-PBE level.

## Properties
* N(E_F): 29.70 states/eV/cell
* formation energy from the elements: -0.3 eV/f.u.

Cell lengths 8.782, 15.051, 5.579 Å; angles 90.00, 115.20, 90.00 degrees
Space group C2/m (No. 12)
Unique sites:
Tb  0.000  0.000  0.000
Er  0.000  0.216  0.000
Er  0.095  0.500  0.797
Er  0.210  0.115  0.625
In  0.000  0.307  0.500

=====

[3]
Below is an optimized crystal structure of Tb6ErIn2, with properties calculated at the GGA-PBE level.

## Properties
* excess energy over the best structure of this formula in the dataset: 527 meV/atom
* N(E_F): 27.15 states/eV/cell
* formation energy from the elements: 2.9 eV/f.u.

Cell lengths 6.249, 6.249, 15.320 Å; angles 90.00, 90.00, 90.00 degrees
Space group I-42m (No. 121)
Unique sites:
Tb  0.000  0.500  0.250
Tb  0.177  0.177  0.088
Er  0.000  0.000  0.500
In  0.000  0.000  0.290

=====

[4]
Below is an optimized crystal structure of Tb12Er5In2, with properties calculated at the GGA-PBE level.

## Properties
* N(E_F): 57.39 states/eV/cell
* formation energy from the elements: -0.1 eV/f.u.

Cell lengths 15.319, 9.232, 8.362 Å; angles 90.00, 92.04, 90.00 degrees
Space group C2/m (No. 12)
Unique sites:
Tb  0.054  0.000  0.325
Tb  0.084  0.500  0.885
Tb  0.125  0.196  0.661
Tb  0.149  0.314  0.237
Er  0.000  0.500  0.500
Er  0.189  0.000  0.008
Er  0.234  0.500  0.581
In  0.000  0.179  0.000

=====

[5]
Below is an optimized crystal structure of Tb2Er3In4, with properties calculated at the GGA-PBE level.

## Properties
* excess energy over the best structure of this formula in the dataset: 0 meV/atom
* N(E_F): 7.93 states/eV/cell
* formation energy from the elements: -3.6 eV/f.u.

Cell lengths 5.2483, 5.2483, 10.2366 Å; angles 90.00, 90.00, 120.00 degrees
Space group P-3m1 (No. 164)
Unique sites:
Tb  0.3333  0.6667  0.2766
Er  0.0000  0.0000  0.5000
Er  0.3333  0.6667  0.9262
In  0.0000  0.0000  0.1543
In  0.3333  0.6667  0.6010

=====

[6]
Below is an optimized crystal structure of Tb7Er3In2, with properties calculated at the GGA-PBE level.

## Properties
* N(E_F): 11.88 states/eV/cell
* formation energy from the elements: -0.5 eV/f.u.

Cell lengths 5.571, 3.588, 18.436 Å; angles 90.00, 94.03, 90.00 degrees
Space group P2/m (No. 10)
Unique sites:
Tb  0.000  0.000  0.000
Tb  0.165  0.500  0.175
Tb  0.259  0.500  0.540
Tb  0.339  0.000  0.853
Er  0.219  0.000  0.366
Er  0.500  0.500  0.000
In  0.302  0.500  0.707